The following is a PBE-GGA calculation of a relaxed Sc7Sn3N2 crystal, from Alexandria via LeMat-Bulk.

Summary:
- uncorrected energy (eV/atom) = -7.1792
- uncorrected formation energy (eV/atom) = -1.10
- space group = No. 139
- V (Å³/f.u.) = 234.0

Cell lengths 12.350, 12.350, 12.350 Å; angles 159.36, 159.36, 29.35 degrees
Atoms (fractional coordinates):
1 Sc 0.000 0.000 0.000
2 Sc 0.094 0.594 0.500
3 Sc 0.189 0.189 0.000
4 Sc 0.406 0.906 0.500
5 Sc 0.594 0.094 0.500
6 Sc 0.811 0.811 0.000
7 Sc 0.906 0.406 0.500
8 Sn 0.316 0.316 0.000
9 Sn 0.500 0.500 0.000
10 Sn 0.684 0.684 0.000
11 N 0.095 0.095 0.000
12 N 0.905 0.905 0.000